Entry 1:
A relaxed structure of Ag2TeOsRu. Source: Alexandria, functional GGA-PBE.

The structure in POSCAR format:
```
Ag2TeOsRu
1.0
5.019 0.000 0.000
0.000 5.019 0.000
0.000 0.000 4.866
Ag Te Os Ru
2 1 1 1
direct
0.000 0.500 0.000
0.500 0.000 0.000
0.000 0.000 0.000
0.500 0.500 0.500
0.000 0.000 0.500
```

Results
formation energy (no corrections): 1953 meV per atom
symmetry: P4/mmm, No. 123


Entry 2:
A relaxed structure of AgOsRuW2. Source: Alexandria, functional GGA-PBE.

The structure in POSCAR format:
```
AgOsRuW2
1.0
4.685 0.000 0.000
0.000 4.685 0.000
0.000 0.000 4.912
Ag Os Ru W
1 1 1 2
direct
0.000 0.000 0.000
0.000 0.000 0.500
0.500 0.500 0.000
0.000 0.500 0.500
0.500 0.000 0.500
```

Results
VASP energy: -38.31 eV/cell
symmetry: P4/mmm, No. 123


Entry 3:
A relaxed structure of Ag2OsS. Source: Alexandria, functional GGA-PBE.

The structure in POSCAR format:
```
Ag2OsS
1.0
-4.236 4.236 2.188
4.236 -4.236 2.188
4.236 4.236 -2.188
Ag Os S
4 2 2
direct
0.032 0.625 0.907
0.375 0.282 0.407
0.718 0.125 0.093
0.875 0.968 0.593
0.250 0.750 0.500
0.500 0.500 0.000
0.000 0.000 0.000
0.750 0.250 0.500
```

Results
formation energy (no corrections): 836 meV per atom
symmetry: I-42d, No. 122